(1)
! TcP2W PBE optimized geometry; values from VASP
! Space-group type = C2/m
! Fermi-level density of states = 3.11 states/eV/cell
! E_form = -0.056 eV per atom
! Energy = -8.59 eV per atom
&SYSTEM
  ibrav = 0, nat = 4, ntyp = 3
/
ATOMIC_SPECIES
P 30.97 P.upf
Tc 98.00 Tc.upf
W 183.84 W.upf
ATOMIC_POSITIONS crystal
P 0.999 0.999 0.007
P 0.501 0.501 0.493
Tc 0.250 0.250 0.250
W 0.750 0.750 0.750
CELL_PARAMETERS angstrom
-0.021 1.936 3.591
-2.744 1.686 2.506
-0.953 -3.835 3.275

***

(2)
! Be2TlRuC PBE optimized geometry; values from VASP
! Space-group type = P4/mmm
! Fermi-level density of states = 1.52 states/eV/cell
! E_form = 1.851 eV per atom
! Energy = -3.81 eV per atom
&SYSTEM
  ibrav = 0, nat = 5, ntyp = 4
/
ATOMIC_SPECIES
Ru 101.07 Ru.upf
Tl 204.38 Tl.upf
C 12.01 C.upf
Be 9.01 Be.upf
ATOMIC_POSITIONS crystal
Ru 0.000 0.000 0.000
Tl 0.000 0.500 0.000
C 0.500 0.500 0.500
Be 0.000 0.000 0.500
Be 0.500 0.000 0.000
CELL_PARAMETERS angstrom
4.169 0.000 0.000
0.000 5.202 0.000
0.000 0.000 4.169